Record 1
Here is crystalline Sc5GaPd6 at its relaxed geometry from the Alexandria database. Energies are from PBE-GGA.

Lattice parameters (Å, degrees): 4.624 8.013 8.013 119.69 106.78 106.78
Atoms (fractional coordinates):
Sc  0.500  0.160  0.840
Sc  0.000  0.331  0.669
Sc  0.500  0.500  0.500
Sc  0.000  0.669  0.331
Sc  0.500  0.840  0.160
Pd  0.250  0.083  0.417
Pd  0.750  0.583  0.917
Pd  0.757  0.259  0.259
Pd  0.243  0.741  0.741
Pd  0.250  0.417  0.083
Pd  0.750  0.917  0.583
Ga  0.000  0.000  0.000

Computed properties:
theoretical density = 7.34 Mg/m³
total energy = -0.2334 Ha/atom
V = 211.0 Å³/cell
density of states at the Fermi level = 6.57 states/eV/f.u.

***

Record 2
Here is crystalline Ba4La2Cu6O13 at its relaxed geometry from the Alexandria database. Energies are from PBE-GGA.

Lattice parameters (Å, degrees): 12.723 12.700 5.590 77.53 77.07 25.40
Atoms (fractional coordinates):
Ba  0.163  0.649  0.837
Ba  0.649  0.163  0.351
Ba  0.837  0.351  0.163
Ba  0.351  0.837  0.649
La  0.000  0.500  0.000
La  0.500  0.000  0.500
Cu  0.575  0.072  0.928
Cu  0.072  0.575  0.425
Cu  0.425  0.928  0.072
Cu  0.928  0.425  0.575
Cu  0.262  0.738  0.262
Cu  0.738  0.262  0.738
O  0.317  0.317  0.683
O  0.814  0.814  0.186
O  0.315  0.315  0.185
O  0.815  0.815  0.685
O  0.186  0.186  0.814
O  0.683  0.683  0.317
O  0.185  0.185  0.315
O  0.685  0.685  0.815
O  0.698  0.153  0.847
O  0.153  0.698  0.302
O  0.302  0.847  0.153
O  0.847  0.302  0.698
O  0.500  0.500  0.500

Computed properties:
theoretical density = 6.23 Mg/m³
raw formation energy = -1.8327 eV/atom
total energy = -0.2240 Ha/atom
V = 377.4 Å³/cell
density of states at the Fermi level = 7.62 states/eV/f.u.

***

Record 3
Here is crystalline MnCu2Si2 at its relaxed geometry from the Alexandria database. Energies are from PBE-GGA.

Lattice parameters (Å, degrees): 6.184 6.184 3.382 90.00 90.00 90.00
Last column: magnetic moment on the atom in μB.
Atoms (fractional coordinates):
Si  0.355  0.855  0.000  -0.05
Si  0.855  0.645  0.000  -0.05
Si  0.645  0.145  0.000  -0.05
Si  0.145  0.355  0.000  -0.05
Mn  0.000  0.000  0.000  1.79
Mn  0.500  0.500  0.000  1.79
Cu  0.154  0.654  0.500  -0.03
Cu  0.654  0.846  0.500  -0.03
Cu  0.846  0.346  0.500  -0.03
Cu  0.346  0.154  0.500  -0.03

Computed properties:
theoretical density = 6.12 Mg/m³
raw formation energy = 0.1128 eV/atom
total energy = -0.2032 Ha/atom
V = 129.3 Å³/cell
density of states at the Fermi level = 3.18 states/eV/f.u.

***

Record 4
Here is crystalline NaHfFe2 at its relaxed geometry from the Alexandria database. Energies are from PBE-GGA.

Lattice parameters (Å, degrees): 7.076 7.076 5.714 51.74 51.74 90.00
Last column: magnetic moment on the atom in μB.
Atoms (fractional coordinates):
Na  0.500  0.500  0.000  -0.03
Na  0.250  0.750  0.500  -0.03
Hf  0.000  0.000  0.000  -0.62
Hf  0.750  0.250  0.500  -0.62
Fe  0.625  0.125  0.250  2.26
Fe  0.125  0.625  0.250  2.26
Fe  0.375  0.375  0.750  2.27
Fe  0.875  0.875  0.750  2.27

Computed properties:
theoretical density = 7.53 Mg/m³
total energy = -0.2264 Ha/atom
polymorph energy (0 for the lowest one) = 0.2577 eV/atom
V = 138.2 Å³/cell
density of states at the Fermi level = 3.08 states/eV/f.u.

***

Record 5
Here is crystalline NdSbS3 at its relaxed geometry from the Alexandria database. Energies are from PBE-GGA.

Lattice parameters (Å, degrees): 4.054 7.205 13.126 123.28 90.00 90.00
Atoms (fractional coordinates):
Nd  0.250  0.293  0.575
Nd  0.750  0.707  0.425
Sb  0.250  0.064  0.169
Sb  0.750  0.936  0.831
S  0.750  0.126  0.645
S  0.750  0.620  0.619
S  0.250  0.874  0.355
S  0.250  0.380  0.381
S  0.250  0.761  0.872
S  0.750  0.239  0.128

Computed properties:
theoretical density = 3.75 Mg/m³
raw formation energy = -1.0666 eV/atom
total energy = -0.1955 Ha/atom
polymorph energy (0 for the lowest one) = 0.0436 eV/atom
V = 320.5 Å³/cell

***

Record 6
Here is crystalline Cr2Ni7Rh at its relaxed geometry from the Alexandria database. Energies are from PBE-GGA.

Lattice parameters (Å, degrees): 3.545 7.134 7.134 127.84 90.00 90.00
Last column: magnetic moment on the atom in μB.
Atoms (fractional coordinates):
Cr  0.500  0.696  0.304  2.16
Cr  0.500  0.304  0.696  2.16
Ni  0.000  0.806  0.194  -0.10
Ni  0.000  0.194  0.806  -0.10
Ni  0.500  0.086  0.295  -0.25
Ni  0.500  0.914  0.705  -0.25
Ni  0.500  0.295  0.086  -0.25
Ni  0.500  0.705  0.914  -0.25
Ni  0.500  0.500  0.500  -0.32
Rh  0.000  0.000  0.000  -0.39

Computed properties:
theoretical density = 7.20 Mg/m³
total energy = -0.2218 Ha/atom
V = 142.5 Å³/cell
density of states at the Fermi level = 14.22 states/eV/f.u.

***

Record 7
Here is crystalline Nb3V8Ru at its relaxed geometry from the Alexandria database. Energies are from PBE-GGA.

Lattice parameters (Å, degrees): 5.030 5.030 8.657 73.11 73.11 60.00
Atoms (fractional coordinates):
Nb  0.375  0.375  0.875
Nb  0.000  0.000  0.001
Nb  0.500  0.500  0.500
V  0.936  0.436  0.192
V  0.440  0.939  0.683
V  0.436  0.436  0.192
V  0.939  0.939  0.683
V  0.188  0.188  0.436
V  0.687  0.687  0.940
V  0.436  0.936  0.192
V  0.939  0.440  0.683
Ru  0.875  0.875  0.374

Computed properties:
theoretical density = 7.32 Mg/m³
total energy = -0.3467 Ha/atom
V = 178.7 Å³/cell
density of states at the Fermi level = 5.92 states/eV/f.u.

***

Record 8
Here is crystalline BaCo2As at its relaxed geometry from the Alexandria database. Energies are from PBE-GGA.

Lattice parameters (Å, degrees): 6.233 6.233 6.233 38.48 38.48 38.48
Last column: magnetic moment on the atom in μB.
Atoms (fractional coordinates):
As  0.554  0.554  0.554  0.01
Ba  0.748  0.748  0.748  -0.10
Co  0.938  0.938  0.938  1.42
Co  0.260  0.260  0.260  1.37

Computed properties:
theoretical density = 6.51 Mg/m³
total energy = -0.2011 Ha/atom
V = 84.2 Å³/cell
density of states at the Fermi level = 4.02 states/eV/f.u.

***

Record 9
Here is crystalline Cs2Li2As at its relaxed geometry from the Alexandria database. Energies are from PBE-GGA.

Lattice parameters (Å, degrees): 4.589 4.589 11.512 78.50 78.50 60.00
Atoms (fractional coordinates):
Cs  0.427  0.427  0.718
Cs  0.573  0.573  0.282
Li  0.675  0.675  0.976
Li  0.325  0.325  0.024
As  0.000  0.000  0.000

Computed properties:
theoretical density = 2.88 Mg/m³
total energy = -0.0904 Ha/atom
polymorph energy (0 for the lowest one) = 0.0000 eV/atom
V = 204.3 Å³/cell
density of states at the Fermi level = 2.06 states/eV/f.u.

***

Record 10
Here is crystalline La2Y3Er8 at its relaxed geometry from the Alexandria database. Energies are from PBE-GGA.

Lattice parameters (Å, degrees): 5.478 7.596 11.240 109.75 90.01 90.00
Atoms (fractional coordinates):
La  0.500  0.240  0.480
La  0.500  0.760  0.520
Y  0.500  0.000  0.000
Y  0.000  0.288  0.000
Y  0.000  0.712  0.000
Er  0.000  0.658  0.316
Er  0.000  0.342  0.684
Er  0.000  0.125  0.250
Er  0.000  0.875  0.750
Er  0.500  0.607  0.787
Er  0.500  0.180  0.787
Er  0.500  0.820  0.213
Er  0.500  0.393  0.213

Computed properties:
theoretical density = 7.10 Mg/m³
total energy = -0.1767 Ha/atom
V = 440.3 Å³/cell
density of states at the Fermi level = 22.53 states/eV/f.u.

***

Record 11
Here is crystalline RbNa2Sn at its relaxed geometry from the Alexandria database. Energies are from PBE-GGA.

Lattice parameters (Å, degrees): 5.505 5.505 7.317 67.90 67.90 60.00
Last column: magnetic moment on the atom in μB.
Atoms (fractional coordinates):
Rb  0.490  0.490  0.529  0.01
Na  0.021  0.021  0.938  0.00
Na  0.301  0.301  0.098  0.00
Sn  0.688  0.688  0.936  0.22

Computed properties:
theoretical density = 2.40 Mg/m³
total energy = -0.0723 Ha/atom
V = 173.0 Å³/cell
density of states at the Fermi level = 3.41 states/eV/f.u.

***

Record 12
Here is crystalline Ca2NpGa3Au12 at its relaxed geometry from the Alexandria database. Energies are from PBE-GGA.

Lattice parameters (Å, degrees): 10.707 10.707 10.707 37.84 37.84 37.84
Last column: magnetic moment on the atom in μB.
Atoms (fractional coordinates):
Ca  0.637  0.637  0.637  0.00
Ca  0.363  0.363  0.363  0.00
Np  0.000  0.000  0.000  3.73
Ga  0.500  0.000  0.000  -0.01
Ga  0.000  0.500  0.000  -0.01
Ga  0.000  0.000  0.500  -0.01
Au  0.409  0.409  0.815  0.00
Au  0.865  0.865  0.441  -0.01
Au  0.441  0.865  0.865  -0.01
Au  0.815  0.409  0.409  0.00
Au  0.865  0.441  0.865  -0.01
Au  0.409  0.815  0.409  0.00
Au  0.591  0.591  0.185  0.00
Au  0.135  0.135  0.559  -0.01
Au  0.559  0.135  0.135  -0.01
Au  0.185  0.591  0.591  0.00
Au  0.135  0.559  0.135  -0.01
Au  0.591  0.185  0.591  0.00

Computed properties:
theoretical density = 11.58 Mg/m³
total energy = -0.1399 Ha/atom
V = 414.5 Å³/cell
density of states at the Fermi level = 14.81 states/eV/f.u.

***

Repeat the ninth record exactly.
Here is crystalline Cs2Li2As at its relaxed geometry from the Alexandria database. Energies are from PBE-GGA.

Lattice parameters (Å, degrees): 4.589 4.589 11.512 78.50 78.50 60.00
Atoms (fractional coordinates):
Cs  0.427  0.427  0.718
Cs  0.573  0.573  0.282
Li  0.675  0.675  0.976
Li  0.325  0.325  0.024
As  0.000  0.000  0.000

Computed properties:
theoretical density = 2.88 Mg/m³
total energy = -0.0904 Ha/atom
polymorph energy (0 for the lowest one) = 0.0000 eV/atom
V = 204.3 Å³/cell
density of states at the Fermi level = 2.06 states/eV/f.u.